TaNb3V4O20: optimized geometry, PBE+U.

Cell: 5.6367 7.0861 12.0930 Å, 89.89 90.00 90.00°
Last column: nearest neighbours and their distance in Å.
Positions (direct):
Ta  0.5000  0.8393  0.5595  6 O 1.94-2.04
Nb  0.5000  0.6558  0.0592  6 O 1.93-2.09
Nb  0.0000  0.1530  0.4422  6 O 1.92-2.10
Nb  0.0000  0.3428  0.9408  6 O 1.93-2.08
V  0.5000  0.0297  0.8448  4 O 1.72-1.76
V  0.5000  0.4710  0.3466  4 O 1.71-1.77
V  0.0000  0.9703  0.1545  4 O 1.72-1.77
V  0.0000  0.5297  0.6537  4 O 1.73-1.76
O  0.5000  0.8240  0.9244  1 V 1.74
O  0.5000  0.6801  0.4239  1 V 1.75
O  0.0000  0.1772  0.0754  1 V 1.75
O  0.0000  0.3224  0.5777  1 V 1.73
O  0.5000  0.9687  0.7034  1 V 1.76, 1 Ta 1.97
O  0.5000  0.5276  0.2040  1 V 1.77, 1 Nb 1.97
O  0.0000  0.0300  0.2961  1 V 1.77, 1 Nb 1.97
O  0.0000  0.4738  0.7952  1 V 1.76
O  0.2508  0.9995  0.5007  1 Nb 1.92, 1 Ta 1.94
O  0.7501  0.5001  0.9995  2 Nb 1.93
O  0.7492  0.9995  0.5007  1 Nb 1.92, 1 Ta 1.94
O  0.2499  0.5001  0.9995  2 Nb 1.93
O  0.2509  0.6593  0.6225  1 V 1.73
O  0.7506  0.8411  0.1246  1 V 1.72
O  0.7492  0.3428  0.3776  1 V 1.71
O  0.2504  0.1596  0.8745  1 V 1.72
O  0.2508  0.3428  0.3776  1 V 1.71
O  0.7496  0.1596  0.8745  1 V 1.72
O  0.7491  0.6593  0.6225  1 V 1.73
O  0.2494  0.8411  0.1246  1 V 1.72

Calculated values
spin magnetization	0.0000	μB per atom
theoretical density	3.38	g cm⁻³
calculated total energy	-8.3725	eV per atom